(1)
Below is Dy2TmSn2Rh5 after structural relaxation, with properties calculated at the PBE level.

Properties
E (eV per cell): -130.37
Calculated volume (Å³/cell): 394.9
Fermi-level density of states (states/eV per cell): 12.36

a b c (Å): 10.2020 10.2020 3.7941
angles (deg): 90.00 90.00 90.00
Last column: nearest neighbours and their distance in Å.
Space group P4/mbm (No. 127)
Asymmetric unit:
Dy 0.1704 0.3296 0.0000 [4 per cell]  3 Sn 2.92-3.07, 2 Rh 3.10
Tm 0.0000 0.0000 0.0000 [2 per cell]  8 Rh 2.90
Sn 0.1276 0.6276 0.0000 [4 per cell]  6 Rh 2.63-2.64, 1 Dy 2.92
Rh 0.0000 0.5000 0.5000 [2 per cell]  4 Sn 2.64
Rh 0.0643 0.7948 0.5000 [8 per cell]  2 Sn 2.63, 2 Tm 2.90

---

(2)
Below is Sr2Li3Bi4Pb after structural relaxation, with properties calculated at the PBE level.

Properties
E (eV per cell): -33.71
Calculated volume (Å³/cell): 302.3
Fermi-level density of states (states/eV per cell): 2.40

a b c (Å): 4.8961 4.8961 12.6123
angles (deg): 90.00 90.00 90.00
Last column: nearest neighbours and their distance in Å.
Space group P-4m2 (No. 115)
Asymmetric unit:
Sr 0.0000 0.5000 0.2248 [2 per cell]  4 Li 3.70, 8 Bi 3.74-3.75
Li 0.0000 0.5000 0.8790 [2 per cell]  5 Bi 2.72-2.88
Li 0.5000 0.5000 0.5000 [1 per cell]  4 Bi 3.20, 4 Pb 3.46
Bi 0.0000 0.0000 0.0000 [1 per cell]  4 Li 2.88
Bi 0.0000 0.5000 0.6632 [2 per cell]  1 Li 2.72
Bi 0.5000 0.5000 0.0000 [1 per cell]  4 Li 2.88
Pb 0.0000 0.0000 0.5000 [1 per cell]  4 Bi 3.20, 4 Li 3.46

---

(3)
Below is Pr3ThPd4 after structural relaxation, with properties calculated at the PBE level.

Properties
E (eV per cell): -93.12
Calculated volume (Å³/cell): 436.2
Fermi-level density of states (states/eV per cell): 17.79

a b c (Å): 5.6781 9.7904 7.8474
angles (deg): 90.00 90.00 90.00
Last column: nearest neighbours and their distance in Å.
Space group Imm2 (No. 44)
Asymmetric unit:
Pr 0.0000 0.0000 0.0000 [2 per cell]  4 Pd 2.98-3.30
Pr 0.0000 0.2601 0.3422 [4 per cell]  5 Pd 2.93-3.11
Th 0.0000 0.5000 0.8713 [2 per cell]  4 Pd 2.72-2.75
Pd 0.0000 0.2484 0.7153 [4 per cell]  1 Th 2.75, 2 Pd 2.82, 3 Pr 2.93-3.01
Pd 0.2411 0.0000 0.6634 [4 per cell]  1 Th 2.72, 4 Pd 2.74-2.94, 1 Pr 2.98

---

(4)
Below is LiTlInPb after structural relaxation, with properties calculated at the PBE level.

Properties
Energy above the lowest structure with this stoichiometry (eV/f.u.): 0.00
E (eV per cell): -22.23
Calculated volume (Å³/cell): 210.5
Fermi-level density of states (states/eV per cell): 3.37

a b c (Å): 4.8816 4.8816 8.8320
angles (deg): 90.00 90.00 90.00
Last column: nearest neighbours and their distance in Å.
Space group I-4m2 (No. 119)
Asymmetric unit:
Li 0.0000 0.0000 0.0000 [2 per cell]  4 Tl 3.29, 4 Pb 3.29, 4 In 3.45
Tl 0.0000 0.5000 0.2500 [2 per cell]  4 In 3.29, 4 Li 3.29, 4 Pb 3.45
In 0.0000 0.0000 0.5000 [2 per cell]  4 Tl 3.29, 4 Pb 3.29, 4 Li 3.45
Pb 0.0000 0.5000 0.7500 [2 per cell]  4 Li 3.29, 4 In 3.29, 4 Tl 3.45

---

(5)
Below is Na4U3ZnN8 after structural relaxation, with properties calculated at the PBE level.

Properties
E_form (uncorrected) (eV/atom): -0.8003
E (eV per cell): -239.64
Calculated volume (Å³/cell): 460.6

a b c (Å): 11.9163 6.8574 6.8867
angles (deg): 90.00 125.06 90.00
Last column: nearest neighbours and their distance in Å.
Space group C2/m (No. 12)
Asymmetric unit:
Na 0.0000 0.0000 0.0000 [2 per cell]  6 N 2.53-2.54
Na 0.0000 0.5000 0.0000 [2 per cell]  6 N 2.66-2.72
Na 0.2500 0.2500 0.0000 [4 per cell]  6 N 2.65-2.73
U 0.0000 0.0000 0.5000 [2 per cell]  6 N 2.18-2.25
U 0.2500 0.2500 0.5000 [4 per cell]  6 N 2.17-2.24
Zn 0.0000 0.5000 0.5000 [2 per cell]  6 N 2.38-2.41
N 0.0284 0.2300 0.3144 [8 per cell]  2 U 2.18, 1 Zn 2.38
N 0.2287 0.0000 0.6865 [4 per cell]  3 U 2.24-2.25
N 0.2436 0.5000 0.6871 [4 per cell]  2 U 2.17, 1 Zn 2.41

---

(6)
Below is NiPtRhW after structural relaxation, with properties calculated at the PBE level.

Properties
Energy above the lowest structure with this stoichiometry (eV/f.u.): 0.00
E (eV per cell): -66.35
Calculated volume (Å³/cell): 112.8
Fermi-level density of states (states/eV per cell): 5.61

a b c (Å): 3.8463 3.8463 7.6268
angles (deg): 90.00 90.00 90.00
Last column: nearest neighbours and their distance in Å.
Space group I-4m2 (No. 119)
Asymmetric unit:
Ni 0.0000 0.0000 0.0000 [2 per cell]  4 Rh 2.71, 4 Pt 2.71, 4 W 2.72
Pt 0.0000 0.5000 0.7500 [2 per cell]  4 W 2.71, 4 Ni 2.71, 4 Rh 2.72
Rh 0.0000 0.5000 0.2500 [2 per cell]  4 W 2.71, 4 Ni 2.71, 4 Pt 2.72
W 0.0000 0.0000 0.5000 [2 per cell]  4 Rh 2.71, 4 Pt 2.71, 4 Ni 2.72

---

(7)
Below is BeAs2O after structural relaxation, with properties calculated at the PBE level.

Properties
Energy above the lowest structure with this stoichiometry (eV/f.u.): 0.00
E_form (uncorrected) (eV/atom): 0.0171
E (eV per cell): -71.66
Calculated volume (Å³/cell): 258.7
Fermi-level density of states (states/eV per cell): 0.65

a b c (Å): 4.8663 4.8663 10.9224
angles (deg): 90.00 90.00 90.00
Last column: nearest neighbours and their distance in Å.
Space group I-42d (No. 122)
Asymmetric unit:
Be 0.0000 0.0000 0.0000 [4 per cell]  4 As 2.22
As 0.2397 0.2500 0.6250 [8 per cell]  2 O 2.17, 2 Be 2.22
O 0.0000 0.0000 0.5000 [4 per cell]  4 As 2.17

---

(8)
Below is NdHo5Cu4 after structural relaxation, with properties calculated at the PBE level.

Properties
E (eV per cell): -46.10
Calculated volume (Å³/cell): 229.3
Fermi-level density of states (states/eV per cell): 6.76

a b c (Å): 3.4531 3.4531 19.2318
angles (deg): 90.00 90.00 90.00
Last column: nearest neighbours and their distance in Å.
Space group P4/mmm (No. 123)
Asymmetric unit:
Nd 0.0000 0.0000 0.0000 [1 per cell]  4 Nd 3.45, 8 Ho 3.65
Ho 0.5000 0.5000 0.1410 [2 per cell]  4 Cu 2.97
Ho 0.5000 0.5000 0.3192 [2 per cell]  8 Cu 3.00
Ho 0.5000 0.5000 0.5000 [1 per cell]  8 Cu 3.00
Cu 0.0000 0.0000 0.2287 [2 per cell]  8 Ho 2.97-3.00
Cu 0.0000 0.0000 0.4094 [2 per cell]  8 Ho 3.00

---

(9)
Below is CoRh after structural relaxation, with properties calculated at the PBE level.

Properties
E (eV per cell): -84.92
Calculated volume (Å³/cell): 158.0
Fermi-level density of states (states/eV per cell): 14.44

a b c (Å): 7.0523 4.9261 4.5492
angles (deg): 90.00 90.00 90.00
Last column: nearest neighbours and their distance in Å.
Space group Pmn2_1 (No. 31)
Asymmetric unit:
Co 0.0000 0.1999 0.0000 [2 per cell]  6 Rh 2.52-2.69, 6 Co 2.56-2.74
Co 0.1703 0.0695 0.5223 [4 per cell]  5 Co 2.40-2.68, 5 Rh 2.53-2.66
Rh 0.0000 0.7181 0.1860 [2 per cell]  6 Co 2.52-2.69, 6 Rh 2.67-2.71
Rh 0.1831 0.5785 0.6882 [4 per cell]  5 Co 2.53-2.68, 6 Rh 2.58-2.71

---

(10)
Below is Ac3ErGe4 after structural relaxation, with properties calculated at the PBE level.

Properties
E (eV per cell): -79.16
Calculated volume (Å³/cell): 478.6
Fermi-level density of states (states/eV per cell): 9.71

a b c (Å): 6.1984 12.0693 6.3970
angles (deg): 90.00 90.00 90.00
Last column: nearest neighbours and their distance in Å.
Space group Pmmn (No. 59, origin choice 2)
Asymmetric unit:
Ac 0.2500 0.0038 0.2016 [4 per cell]  6 Ge 3.11-3.44
Ac 0.2500 0.2500 0.5813 [2 per cell]  4 Ge 3.04-3.36
Er 0.2500 0.7500 0.9355 [2 per cell]  5 Ge 2.82-3.16
Ge 0.2500 0.2500 0.0562 [2 per cell]  4 Ac 3.04-3.36, 2 Er 3.10
Ge 0.2500 0.5609 0.6772 [4 per cell]  1 Ge 2.78, 1 Er 2.82
Ge 0.2500 0.7500 0.4287 [2 per cell]  2 Ge 2.78, 2 Ac 3.10

---

(11)
Below is La2ThZn4 after structural relaxation, with properties calculated at the PBE level.

Properties
E (eV per cell): -46.04
Calculated volume (Å³/cell): 377.6
Fermi-level density of states (states/eV per cell): 10.91

a b c (Å): 5.4067 5.4067 12.9183
angles (deg): 90.00 90.00 90.00
Last column: nearest neighbours and their distance in Å.
Space group I4/mmm (No. 139)
Asymmetric unit:
La 0.0000 0.0000 0.2165 [4 per cell]  4 Zn 3.06
Th 0.0000 0.0000 0.5000 [2 per cell]  8 Zn 3.03
Zn 0.0000 0.5000 0.1052 [8 per cell]  1 Zn 2.72, 2 Th 3.03

---

(12)
Below is CsHg4Cl8 after structural relaxation, with properties calculated at the PBE level.

Properties
Energy above the lowest structure with this stoichiometry (eV/f.u.): 0.00
E_form (uncorrected) (eV/atom): -0.7224
E (eV per cell): -26.22
Calculated volume (Å³/cell): 521.9
Fermi-level density of states (states/eV per cell): 4.12

a b c (Å): 8.3542 8.3836 8.6292
angles (deg): 94.53 106.48 112.80
Last column: nearest neighbours and their distance in Å.
Space group P-1 (No. 2)
Asymmetric unit:
Cs 0.0000 0.0000 0.0000 [1 per cell]  6 Cl 3.51-3.60
Hg 0.0036 0.2620 0.5182 [2 per cell]  2 Cl 2.39
Hg 0.4959 0.7480 0.4848 [2 per cell]  2 Cl 2.56
Cl 0.1993 0.6617 0.6859 [2 per cell]  1 Hg 2.39
Cl 0.2056 0.1649 0.6991 [2 per cell]  1 Hg 2.39
Cl 0.2809 0.8699 0.3159 [2 per cell]  1 Hg 2.56
Cl 0.2890 0.3644 0.3309 [2 per cell]  1 Hg 2.56

---

(13)
Below is InSn2Ru2 after structural relaxation, with properties calculated at the PBE level.

Properties
Energy above the lowest structure with this stoichiometry (eV/f.u.): 0.00
E (eV per cell): -58.85
Calculated volume (Å³/cell): 188.3
Fermi-level density of states (states/eV per cell): 4.60

a b c (Å): 7.5959 7.5959 3.2631
angles (deg): 90.00 90.00 90.00
Last column: nearest neighbours and their distance in Å.
Space group P4/mbm (No. 127)
Asymmetric unit:
In 0.0000 0.0000 0.0000 [2 per cell]  4 Ru 2.90
Sn 0.1488 0.3512 0.5000 [4 per cell]  6 Ru 2.72-2.79
Ru 0.1484 0.6484 0.0000 [4 per cell]  6 Sn 2.72-2.79, 2 In 2.90

---

(14)
Below is KSrMg2 after structural relaxation, with properties calculated at the PBE level.

Properties
Energy above the lowest structure with this stoichiometry (eV/f.u.): 0.00
E (eV per cell): -5.57
Calculated volume (Å³/cell): 161.0
Fermi-level density of states (states/eV per cell): 3.44

a b c (Å): 3.9727 3.9727 10.2041
angles (deg): 90.00 90.00 90.00
Last column: nearest neighbours and their distance in Å.
Space group P4mm (No. 99)
Asymmetric unit:
K 0.0000 0.0000 0.0000 [1 per cell]  5 Mg 3.93-4.17, 4 K 3.97
Sr 0.5000 0.5000 0.6356 [1 per cell]  5 Mg 3.64-3.74, 4 Sr 3.97
Mg 0.0000 0.0000 0.4086 [1 per cell]  4 Mg 3.15
Mg 0.5000 0.5000 0.2695 [1 per cell]  4 Mg 3.15

---

(15)
Below is HfSi3Ni3 after structural relaxation, with properties calculated at the PBE level.

Properties
E_form (uncorrected) (eV/atom): 0.0737
E (eV per cell): -86.10
Calculated volume (Å³/cell): 226.8
Fermi-level density of states (states/eV per cell): 6.94

a b c (Å): 6.0980 6.0980 6.0980
angles (deg): 90.00 90.00 90.00
Last column: nearest neighbours and their distance in Å.
Space group Pm-3n (No. 223)
Asymmetric unit:
Hf 0.0000 0.0000 0.0000 [2 per cell]  12 Ni 3.41, 12 Si 3.41
Si 0.0000 0.2500 0.5000 [6 per cell]  4 Ni 2.16
Ni 0.0000 0.5000 0.2500 [6 per cell]  4 Si 2.16

---

(16)
Below is HoZnIr after structural relaxation, with properties calculated at the PBE level.

Properties
E (eV per cell): -16.47
Calculated volume (Å³/cell): 57.1
Fermi-level density of states (states/eV per cell): 1.43

a b c (Å): 4.4289 4.4289 3.3611
angles (deg): 90.00 90.00 120.00
Last column: nearest neighbours and their distance in Å.
Space group P-6m2 (No. 187)
Asymmetric unit:
Ho 0.0000 0.0000 0.0000 [1 per cell]  6 Ir 3.06, 6 Zn 3.06, 2 Ho 3.36
Zn 0.3333 0.6667 0.5000 [1 per cell]  3 Ir 2.56
Ir 0.6667 0.3333 0.5000 [1 per cell]  3 Zn 2.56

---

(17)
Below is AcPBrN2 after structural relaxation, with properties calculated at the PBE level.

Properties
E_form (uncorrected) (eV/atom): -0.9268
E (eV per cell): -64.95
Calculated volume (Å³/cell): 199.6
Fermi-level density of states (states/eV per cell): 2.08

a b c (Å): 5.8632 4.0726 8.6041
angles (deg): 90.00 103.67 90.00
Last column: nearest neighbours and their distance in Å.
Space group P2_1/m (No. 11)
Asymmetric unit:
Ac 0.1407 0.2500 0.2399 [2 per cell]  4 N 2.59-2.73
P 0.4265 0.2500 0.9089 [2 per cell]  2 N 1.55-1.57
Br 0.2560 0.7500 0.5435 [2 per cell]  4 Ac 3.25-3.59, 3 N 3.27-3.35, 2 Br 3.56
N 0.1537 0.2500 0.8912 [2 per cell]  1 P 1.57
N 0.3927 0.7500 0.1969 [2 per cell]  1 P 1.55

---

(18)
Below is TbSm8Tl6 after structural relaxation, with properties calculated at the PBE level.

Properties
E (eV per cell): -176.72
Calculated volume (Å³/cell): 1467.8
Fermi-level density of states (states/eV per cell): 70.66

a b c (Å): 9.2589 9.2589 19.7707
angles (deg): 90.00 90.00 120.00
Last column: nearest neighbours and their distance in Å.
Space group R-3 (No. 148, hexagonal axes)
Asymmetric unit:
Tb 0.0000 0.0000 0.0000 [3 per cell]  6 Tl 3.28
Sm 0.0000 0.0000 0.3339 [6 per cell]  6 Tl 3.32-3.33
Sm 0.0010 0.3328 0.2227 [18 per cell]  5 Tl 3.21-3.38
Tl 0.0000 0.3301 0.0604 [18 per cell]  7 Sm 3.21-3.38, 1 Tb 3.28

---

(19)
Below is ZnPSe4 after structural relaxation, with properties calculated at the PBE level.

Properties
Energy above the lowest structure with this stoichiometry (eV/f.u.): 0.00
E_form (uncorrected) (eV/atom): -0.1602
E (eV per cell): -43.17
Calculated volume (Å³/cell): 335.3
Fermi-level density of states (states/eV per cell): 7.52

a b c (Å): 5.1115 5.1119 13.3300
angles (deg): 101.05 101.03 90.02
Last column: nearest neighbours and their distance in Å.
Space group P-1 (No. 2)
Asymmetric unit:
Zn 0.1234 0.3740 0.2492 [2 per cell]  4 Se 2.46
P 0.3764 0.1259 0.7510 [2 per cell]  4 Se 2.24
Se 0.0874 0.2975 0.6344 [2 per cell]  1 P 2.24, 1 Zn 2.46
Se 0.2046 0.9533 0.8675 [2 per cell]  1 P 2.24, 1 Zn 2.46
Se 0.3354 0.5849 0.1326 [2 per cell]  1 P 2.24, 1 Zn 2.46
Se 0.4511 0.1624 0.3656 [2 per cell]  1 P 2.24, 1 Zn 2.46

---

(20)
Below is TaBe2Zn after structural relaxation, with properties calculated at the PBE level.

Properties
E (eV per cell): -20.68
Calculated volume (Å³/cell): 49.6
Fermi-level density of states (states/eV per cell): 1.91

a b c (Å): 3.7872 3.7872 3.4566
angles (deg): 90.00 90.00 90.00
Last column: nearest neighbours and their distance in Å.
Space group P4/mmm (No. 123)
Asymmetric unit:
Ta 0.0000 0.0000 0.0000 [1 per cell]  8 Be 2.56, 4 Zn 2.68
Be 0.0000 0.5000 0.5000 [2 per cell]  4 Ta 2.56, 4 Zn 2.56, 4 Be 2.68
Zn 0.5000 0.5000 0.0000 [1 per cell]  8 Be 2.56, 4 Ta 2.68